Entry from Alexandria via LeMat-Bulk: a relaxed PmYW2N6 crystal (GGA-PBE).

The structure belongs to space group C2/c (No. 15); the cell edges are 10.966, 9.674 and 6.248 Å and the angles 90.00°, 109.61° and 90.00°. The inequivalent atoms are Pm at (0.000, 0.198, 0.250), Y at (0.000, 0.412, 0.750), W at (0.210, 0.091, 0.747), N at (0.110, 0.392, 0.148), N at (0.135, 0.257, 0.658) and N at (0.143, 0.010, 0.970).

The value obtained for the total energy is -9.706 eV/atom.


Entry from Alexandria via LeMat-Bulk: a relaxed Pm2ZrWN5 crystal (GGA-PBE).

The structure belongs to space group Cmc2_1 (No. 36); the cell edges are 3.413, 13.571 and 10.619 Å and the angles 90.00°, 90.00° and 90.00°. The inequivalent atoms are Pm at (0.000, 0.109, 0.000), Pm at (0.000, 0.150, 0.605), Zr at (0.000, 0.219, 0.322), W at (0.000, 0.475, 0.764), N at (0.000, 0.046, 0.350), N at (0.000, 0.282, 0.962), N at (0.000, 0.324, 0.689), N at (0.000, 0.376, 0.310) and N at (0.000, 0.489, 0.093).

The value obtained for the total energy is -9.263 eV/atom.


Entry from Alexandria via LeMat-Bulk: a relaxed Pm4YN5 crystal (GGA-PBE).

The structure belongs to space group I4 (No. 79); the cell edges are 8.012, 8.012 and 5.093 Å and the angles 90.00°, 90.00° and 90.00°. The inequivalent atoms are Pm at (0.100, 0.299, 0.000), Y at (0.000, 0.000, 0.498), N at (0.000, 0.000, 0.018) and N at (0.098, 0.295, 0.511).

The value obtained for the total energy is -8.189 eV/atom.


Entry from Alexandria via LeMat-Bulk: a relaxed Pm3Y2N4 crystal (GGA-PBE).

The structure belongs to space group C2/m (No. 12); the cell edges are 6.157, 3.556 and 14.870 Å and the angles 90.00°, 90.09° and 90.00°. The inequivalent atoms are Pm at (0.000, 0.000, 0.000), Pm at (0.165, 0.500, 0.620), Y at (0.167, 0.500, 0.190), N at (0.001, 0.000, 0.295) and N at (0.166, 0.500, 0.897).

The value obtained for the total energy is -8.080 eV/atom.


Entry from Alexandria via LeMat-Bulk: a relaxed PmY3N crystal (GGA-PBE).

The structure belongs to space group Pm-3m (No. 221); the cell edges are 5.002, 5.002 and 5.002 Å and the angles 90.00°, 90.00° and 90.00°. The inequivalent atoms are Pm at (0.000, 0.000, 0.000), Y at (0.000, 0.500, 0.500) and N at (0.500, 0.500, 0.500).

The value obtained for the total energy is -6.980 eV/atom.


Entry from Alexandria via LeMat-Bulk: a relaxed PmYN2 crystal (GGA-PBE).

The structure belongs to space group P-3m1 (No. 164); the cell edges are 3.4848, 3.4848 and 6.1342 Å and the angles 90.00°, 90.00° and 120.00°. The inequivalent atoms are Pm at (0.0000, 0.0000, 0.0000), Y at (0.0000, 0.0000, 0.5000) and N at (0.3333, 0.6667, 0.7427).

For the distance to the lowest polymorph of the same formula, the calculation gives 0.350 eV per atom. The value obtained for the total energy is -8.170 eV/atom.


Entry from Alexandria via LeMat-Bulk: a relaxed PmYN2 crystal (GGA-PBE).

The structure belongs to space group C2/m (No. 12); the cell edges are 11.213, 5.023 and 5.023 Å and the angles 90.00°, 116.61° and 90.00°. The inequivalent atoms are Pm at (0.125, 0.000, 0.375), Y at (0.125, 0.500, 0.876), N at (0.120, 0.500, 0.369) and N at (0.130, 0.000, 0.879).

For the distance to the lowest polymorph of the same formula, the calculation gives 0.006 eV per atom. The value obtained for the total energy is -8.514 eV/atom.


Entry from Alexandria via LeMat-Bulk: a relaxed PmYN2 crystal (GGA-PBE).

The structure belongs to space group R-3m (No. 166, hexagonal axes); the cell edges are 3.5473, 3.5473 and 17.3852 Å and the angles 90.00°, 90.00° and 120.00°. The inequivalent atoms are Pm at (0.0000, 0.0000, 0.0000), Y at (0.0000, 0.0000, 0.5000) and N at (0.0000, 0.0000, 0.2475).

For the distance to the lowest polymorph of the same formula, the calculation gives 0.000 eV per atom. The value obtained for the total energy is -8.520 eV/atom.


Entry from Alexandria via LeMat-Bulk: a relaxed Pm3YN crystal (GGA-PBE).

The structure belongs to space group Pm-3m (No. 221); the cell edges are 5.112, 5.112 and 5.112 Å and the angles 90.00°, 90.00° and 90.00°. The inequivalent atoms are Pm at (0.000, 0.000, 0.500), Y at (0.500, 0.500, 0.500) and N at (0.000, 0.000, 0.000).

The value obtained for the total energy is -6.283 eV/atom.


Entry from Alexandria via LeMat-Bulk: a relaxed PmY2N crystal (GGA-PBE).

The structure belongs to space group R-3m (No. 166, hexagonal axes); the cell edges are 3.5176, 3.5176 and 27.2823 Å and the angles 90.00°, 90.00° and 120.00°. The inequivalent atoms are Pm at (0.0000, 0.0000, 0.0000), Y at (0.0000, 0.0000, 0.2164) and N at (0.0000, 0.0000, 0.5000).

The value obtained for the total energy is -7.282 eV/atom.


Entry from Alexandria via LeMat-Bulk: a relaxed Pm2YN3 crystal (GGA-PBE).

The structure belongs to space group Pnma (No. 62); the cell edges are 7.147, 5.050 and 10.718 Å and the angles 90.00°, 90.00° and 90.00°. The inequivalent atoms are Pm at (0.126, 0.250, 0.249), Pm at (0.127, 0.250, 0.584), Y at (0.125, 0.250, 0.918), N at (0.122, 0.750, 0.918), N at (0.130, 0.750, 0.252) and N at (0.135, 0.750, 0.580).

The value obtained for the total energy is -8.330 eV/atom.


Entry from Alexandria via LeMat-Bulk: a relaxed Pm4Y2N crystal (GGA-PBE).

The structure belongs to space group I4/mmm (No. 139); the cell edges are 4.966, 4.966 and 17.735 Å and the angles 90.00°, 90.00° and 90.00°. The inequivalent atoms are Pm at (0.000, 0.000, 0.134), Pm at (0.000, 0.500, 0.000), Y at (0.000, 0.000, 0.335) and N at (0.000, 0.000, 0.000).

The value obtained for the total energy is -5.962 eV/atom.


Entry from Alexandria via LeMat-Bulk: a relaxed PmYN2 crystal (GGA-PBE).

The structure belongs to space group R3m (No. 160, hexagonal axes); the cell edges are 3.4894, 3.4894 and 18.1403 Å and the angles 90.00°, 90.00° and 120.00°. The inequivalent atoms are Pm at (0.0000, 0.0000, 0.0000), Y at (0.0000, 0.0000, 0.1705), N at (0.0000, 0.0000, 0.4245) and N at (0.0000, 0.0000, 0.5890).

For the distance to the lowest polymorph of the same formula, the calculation gives 0.252 eV per atom. The value obtained for the total energy is -8.268 eV/atom.


Entry from Alexandria via LeMat-Bulk: a relaxed Pm3YZr2N6 crystal (GGA-PBE).

The structure belongs to space group C2/m (No. 12); the cell edges are 5.961, 10.324 and 6.033 Å and the angles 90.00°, 109.20° and 90.00°. The inequivalent atoms are Pm at (0.000, 0.000, 0.000), Pm at (0.000, 0.334, 0.000), Y at (0.000, 0.500, 0.500), Zr at (0.000, 0.166, 0.500), N at (0.229, 0.000, 0.723) and N at (0.248, 0.327, 0.726).

The value obtained for the total energy is -8.903 eV/atom.


Entry from Alexandria via LeMat-Bulk: a relaxed PmYZrN3 crystal (GGA-PBE).

The structure belongs to space group P2_1/m (No. 11); the cell edges are 5.824, 3.424 and 8.980 Å and the angles 90.00°, 101.48° and 90.00°. The inequivalent atoms are Pm at (0.160, 0.250, 0.200), Y at (0.351, 0.250, 0.859), Zr at (0.265, 0.750, 0.541), N at (0.045, 0.250, 0.647), N at (0.250, 0.750, 0.005) and N at (0.467, 0.750, 0.358).

The value obtained for the total energy is -8.876 eV/atom.


Entry from Alexandria via LeMat-Bulk: a relaxed Pm4Zn2N crystal (GGA-PBE).

The structure belongs to space group I4/mmm (No. 139); the cell edges are 4.977, 4.977 and 14.343 Å and the angles 90.00°, 90.00° and 90.00°. The inequivalent atoms are Pm at (0.000, 0.000, 0.173), Pm at (0.000, 0.500, 0.000), Zn at (0.000, 0.000, 0.378) and N at (0.000, 0.000, 0.000).

The value obtained for the total energy is -4.795 eV/atom.


Entry from Alexandria via LeMat-Bulk: a relaxed Pm12Zn3N5 crystal (GGA-PBE).

The structure belongs to space group Ia-3d (No. 230); the cell edges are 15.868, 15.868 and 15.868 Å and the angles 90.00°, 90.00° and 90.00°. The inequivalent atoms are Pm at (0.035, 0.053, 0.649), Zn at (0.000, 0.250, 0.125), N at (0.000, 0.000, 0.000) and N at (0.000, 0.250, 0.375).

The value obtained for the total energy is -5.802 eV/atom.


Entry from Alexandria via LeMat-Bulk: a relaxed PmZnN2 crystal (GGA-PBE).

The structure belongs to space group R-3m (No. 166, hexagonal axes); the cell edges are 3.7651, 3.7651 and 17.8384 Å and the angles 90.00°, 90.00° and 120.00°. The inequivalent atoms are Pm at (0.0000, 0.0000, 0.0000), Zn at (0.0000, 0.0000, 0.5000) and N at (0.0000, 0.0000, 0.3981).

The value obtained for the total energy is -6.001 eV/atom.


Entry from Alexandria via LeMat-Bulk: a relaxed PmZrN2 crystal (GGA-PBE).

The structure belongs to space group R3m (No. 160, hexagonal axes); the cell edges are 3.3358, 3.3358 and 17.7559 Å and the angles 90.00°, 90.00° and 120.00°. The inequivalent atoms are Pm at (0.0000, 0.0000, 0.0000), Zr at (0.0000, 0.0000, 0.8268), N at (0.0000, 0.0000, 0.2336) and N at (0.0000, 0.0000, 0.4232).

For the distance to the lowest polymorph of the same formula, the calculation gives 0.182 eV per atom. The value obtained for the total energy is -8.894 eV/atom.